[1]
A plane-wave DFT calculation with PBE-GGA was carried out for a geometry-optimized MnNiPd2Se6 structure.

Calculated values
Its space group is C2/c, No. 15. The value obtained for the volume is 21.22 Å³ per atom. For the total energy, the calculation gives -4.780 eV per atom.

```
20
Lattice="5.9937 -0.1585 -0.1645 1.7581 8.3964 -0.4697 1.7581 -0.7805 8.3732" Properties=species:S:1:pos:R:3 pbc="T T T"
Mn 3.2565 7.6244 0.1950
Mn 6.2534 -0.1670 7.5441
Ni 3.2565 0.8786 6.6952
Ni 6.2534 6.5788 1.0439
Pd 5.7935 5.8178 3.7127
Pd 6.7133 3.8837 1.7055
Pd 3.7164 1.6396 4.0264
Pd 2.7966 3.5737 6.0336
Se 3.9426 7.2153 6.3544
Se 2.5704 1.4540 0.3754
Se 5.5673 0.2421 1.3847
Se 6.9395 6.0034 7.3636
Se 4.5837 7.6104 2.3457
Se 1.9293 5.4746 0.1292
Se 4.9262 -0.1530 5.3934
Se 7.5806 1.9828 7.6099
Se 3.4156 5.1640 4.2486
Se 3.0975 3.4823 2.5034
Se 6.0943 2.2934 3.4905
Se 6.4124 3.9751 5.2357
```

***

[2]
A plane-wave DFT calculation with PBE-GGA was carried out for a geometry-optimized AlTc2Os structure.

Calculated values
Its space group is I4/mmm, No. 139. The value obtained for the volume is 14.41 Å³ per atom. As for the calculated formation energy: -0.063 eV per atom.

```
4
Lattice="-3.1703 1.6914 -3.3979 -0.0765 -2.4450 -4.2980 -0.2340 -1.2170 4.7876" Properties=species:S:1:pos:R:3 pbc="T T T"
Os -2.5138 0.0488 -1.2291
Tc 0.0000 0.0000 0.0000
Tc -1.6234 -0.3768 -3.8480
Al -0.9669 -2.0194 -1.6792
```

***

[3]
A plane-wave DFT calculation with PBE-GGA was carried out for a geometry-optimized NbB3Br structure.

Calculated values
Its space group is Pm-3m, No. 221. The value obtained for the volume is 13.29 Å³ per atom. For the total energy, the calculation gives -3.991 eV per atom.

```
5
Lattice="4.0508 0.0000 0.0000 0.0000 4.0508 0.0000 0.0000 0.0000 4.0508" Properties=species:S:1:pos:R:3 pbc="T T T"
Nb 2.0254 2.0254 2.0254
B 0.0000 2.0254 0.0000
B 0.0000 0.0000 2.0254
B 2.0254 0.0000 0.0000
Br 0.0000 0.0000 0.0000
```

***

[4]
A plane-wave DFT calculation with PBE-GGA was carried out for a geometry-optimized Li3Ni5H12 structure.

Calculated values
Its space group is Ia-3d, No. 230. The value obtained for the volume is 6.73 Å³ per atom. For the total energy, the calculation gives -3.860 eV per atom.

```
80
Lattice="-3.7925 -6.8094 -4.2462 -2.3958 -0.1379 8.5454 -2.6405 7.6283 -3.6903" Properties=species:S:1:pos:R:3 pbc="T T T"
Li -4.0729 -4.2052 -0.4415
Li -5.4453 -5.1081 2.2323
Li -4.8693 2.1107 2.5103
Li -2.2378 1.1410 -1.3772
Li -4.2780 -4.0684 -3.5699
Li -3.5797 -0.7326 2.8259
Li -5.2491 1.4136 -2.2171
Li -4.5507 4.7494 4.1787
Li -6.5910 -0.4600 1.9861
Li -3.9595 -1.4297 -1.9014
Li -3.3835 5.7891 -1.6234
Li -4.7559 4.8862 1.0503
Ni -2.0326 1.0042 1.7512
Ni -1.1979 -0.0690 4.2727
Ni 0.0000 0.0000 0.0000
Ni -2.3512 -1.6345 0.0827
Ni -3.2165 0.4095 -3.9683
Ni -3.0941 -3.4737 2.1496
Ni -3.2611 1.9060 4.4944
Ni -5.4543 1.5505 -5.3455
Ni -5.3319 -2.3326 0.7723
Ni -3.7020 3.1505 -3.2919
Ni -5.1267 -2.4695 3.9007
Ni -4.4144 0.3405 0.3044
Ni -1.8963 -3.4047 -2.1231
Ni -1.3203 3.8142 -1.8451
Ni -3.4969 3.0136 -0.1635
Ni -3.3745 -0.8695 5.9543
Ni -2.5181 3.7452 2.4276
Ni -5.5677 -1.2250 -3.8855
Ni -6.4776 2.3155 0.5261
Ni -6.7962 -0.3232 -1.1423
H -3.0311 -4.5333 -2.0237
H -3.6129 0.7689 1.6257
H -5.3682 -4.3473 -2.0110
H -2.8204 -2.7015 -1.0172
H -5.6149 1.0789 1.0694
H -5.5325 -5.4008 0.3341
H -4.3054 0.8669 3.8635
H -2.8949 0.1900 7.0571
H -6.3277 0.9212 3.2974
H -4.4679 -3.5632 1.3272
H -5.1532 -2.6530 -0.7878
H -5.4172 -5.5551 4.1020
H -3.5487 3.1147 3.4821
H -2.5993 -2.0463 1.6116
H -3.4502 2.2339 6.0517
H -3.4746 1.6055 -2.9316
H -1.2082 0.9848 0.3769
H -3.6180 -2.5760 3.3708
H -6.1713 -3.5016 3.2587
H -1.7336 -0.1990 2.7668
H -5.8611 3.4189 3.7214
H -4.8649 -0.8752 1.2482
H -6.8417 -2.2391 1.3017
H -6.2797 1.5569 -3.9717
H -3.9639 1.5563 -0.6393
H -1.9870 2.9201 -0.6929
H -2.5491 -0.8759 4.5806
H -2.6575 4.1826 -2.6499
H -2.9677 -2.7379 -3.1125
H -7.0952 0.8800 -2.1579
H -5.2108 3.2570 -2.7620
H -5.3542 -0.9245 3.5405
H -7.6206 -0.3038 0.2319
H -5.3786 -1.5529 -5.4429
H -5.2801 -2.4337 -2.8732
H -3.4116 6.2361 -3.4931
H -6.2294 2.7273 -1.0027
H -2.5011 -0.2402 -2.6885
H -4.3609 4.2442 -0.7183
H -3.6756 3.3340 1.3967
H -5.9339 0.4910 -6.4482
H -4.5234 -0.1858 -3.2546
H -6.0084 3.3825 1.6261
H -3.2963 6.0818 0.2748
H -3.2139 -0.3979 -0.4606
H -3.4606 5.0283 2.6198
H -5.2158 -0.0879 -1.0168
H -5.7976 5.2143 2.6326
```

***

[5]
A plane-wave DFT calculation with PBE-GGA was carried out for a geometry-optimized HoPaCd2 structure.

Calculated values
Its space group is P4/mmm, No. 123. The value obtained for the volume is 24.67 Å³ per atom. As for the calculated formation energy: -0.030 eV per atom.

```
4
Lattice="-1.2832 2.6094 -1.4577 -1.5123 -1.9351 -2.1328 -7.3924 -0.4692 5.6673" Properties=species:S:1:pos:R:3 pbc="T T T"
Pa -5.0939 0.1025 1.0384
Ho -1.3977 0.3371 -1.7953
Cd -5.5870 -0.3546 4.2832
Cd -1.8055 -0.1146 1.3841
```

***

[6]
A plane-wave DFT calculation with PBE-GGA was carried out for a geometry-optimized SmHo5Rh4 structure.

Calculated values
Its space group is Immm, No. 71. The value obtained for the volume is 25.45 Å³ per atom. As for the calculated formation energy: -0.654 eV per atom.

```
10
Lattice="4.2510 0.0000 0.0000 0.0000 7.2094 -1.2117 -2.1255 -2.2522 8.6814" Properties=species:S:1:pos:R:3 pbc="T T T"
Sm 2.1255 0.0000 0.0000
Ho 2.1255 2.7539 5.0923
Ho 2.1255 -0.9390 5.7142
Ho 0.0000 5.8962 1.7556
Ho 2.1255 3.6047 -0.6058
Ho 0.0000 2.2033 2.3775
Rh 0.0000 4.4189 4.2430
Rh 2.1255 3.0342 7.7921
Rh 2.1255 0.5382 3.2268
Rh 0.0000 1.9229 -0.3223
```

***

What did the first record say?
A plane-wave DFT calculation with PBE-GGA was carried out for a geometry-optimized MnNiPd2Se6 structure.

Calculated values
Its space group is C2/c, No. 15. The value obtained for the volume is 21.22 Å³ per atom. For the total energy, the calculation gives -4.780 eV per atom.

```
20
Lattice="5.9937 -0.1585 -0.1645 1.7581 8.3964 -0.4697 1.7581 -0.7805 8.3732" Properties=species:S:1:pos:R:3 pbc="T T T"
Mn 3.2565 7.6244 0.1950
Mn 6.2534 -0.1670 7.5441
Ni 3.2565 0.8786 6.6952
Ni 6.2534 6.5788 1.0439
Pd 5.7935 5.8178 3.7127
Pd 6.7133 3.8837 1.7055
Pd 3.7164 1.6396 4.0264
Pd 2.7966 3.5737 6.0336
Se 3.9426 7.2153 6.3544
Se 2.5704 1.4540 0.3754
Se 5.5673 0.2421 1.3847
Se 6.9395 6.0034 7.3636
Se 4.5837 7.6104 2.3457
Se 1.9293 5.4746 0.1292
Se 4.9262 -0.1530 5.3934
Se 7.5806 1.9828 7.6099
Se 3.4156 5.1640 4.2486
Se 3.0975 3.4823 2.5034
Se 6.0943 2.2934 3.4905
Se 6.4124 3.9751 5.2357
```